[1]
Entry from Alexandria: a relaxed GaNiI2 crystal (PBE).

## Properties
formation energy without anion corrections = 39.4 kJ per mole of atoms
density of states at the Fermi level = 1.697 states/eV/atom
excess energy over the best structure of this formula in the dataset = 0.408 eV/atom
size of the total moment = 1.0 μB per formula unit

a = 5.305 Å, b = 5.305 Å, c = 5.305 Å
α = 60.00°, β = 60.00°, γ = 60.00°
Fractional positions:
I 0.250 0.250 0.250
I 0.750 0.750 0.750
Ni 0.000 0.000 0.000
Ga 0.500 0.500 0.500


[2]
Entry from Alexandria: a relaxed GaNiI3 crystal (PBE).

## Properties
formation energy without anion corrections = -3.2 kJ per mole of atoms
density of states at the Fermi level = 0.390 states/eV/atom
excess energy over the best structure of this formula in the dataset = 0.000 eV/atom
size of the total moment = 0.0 μB per formula unit

a = 5.374 Å, b = 5.374 Å, c = 5.374 Å
α = 90.00°, β = 90.00°, γ = 90.00°
Fractional positions:
I 0.000 0.500 0.000
I 0.000 0.000 0.500
I 0.500 0.000 0.000
Ni 0.000 0.000 0.000
Ga 0.500 0.500 0.500


[3]
Entry from Alexandria: a relaxed Ga2NiI crystal (PBE).

## Properties
formation energy without anion corrections = 7.0 kJ per mole of atoms
density of states at the Fermi level = 0.457 states/eV/atom
excess energy over the best structure of this formula in the dataset = 0.000 eV/atom
size of the total moment = 0.0 μB per formula unit

a = 5.919 Å, b = 5.919 Å, c = 7.689 Å
α = 67.36°, β = 67.36°, γ = 90.00°
Fractional positions:
I 0.000 0.000 0.000
I 0.750 0.250 0.500
Ni 0.500 0.500 0.000
Ni 0.250 0.750 0.500
Ga 0.498 0.125 0.250
Ga 0.252 0.625 0.250
Ga 0.375 0.502 0.750
Ga 0.875 0.748 0.750


[4]
Entry from Alexandria: a relaxed GaNiI2 crystal (PBE).

## Properties
formation energy without anion corrections = 0.0 kJ per mole of atoms
density of states at the Fermi level = 0.658 states/eV/atom
excess energy over the best structure of this formula in the dataset = 0.000 eV/atom
size of the total moment = 1.0 μB per formula unit

a = 7.759 Å, b = 7.759 Å, c = 6.776 Å
α = 55.07°, β = 55.07°, γ = 90.00°
Fractional positions:
I 0.551 0.125 0.250
I 0.199 0.625 0.250
I 0.375 0.449 0.750
I 0.875 0.801 0.750
Ni 0.500 0.500 0.000
Ni 0.250 0.750 0.500
Ga 0.000 0.000 0.000
Ga 0.750 0.250 0.500


[5]
Entry from Alexandria: a relaxed GaNiI5 crystal (PBE).

## Properties
formation energy without anion corrections = -14.0 kJ per mole of atoms
density of states at the Fermi level = 0.546 states/eV/atom
size of the total moment = 0.0 μB per formula unit

a = 8.205 Å, b = 9.979 Å, c = 15.864 Å
α = 90.00°, β = 90.00°, γ = 90.00°
Fractional positions:
Ga 0.750 0.997 0.145
Ga 0.250 0.003 0.855
Ga 0.750 0.503 0.645
Ga 0.250 0.497 0.355
Ni 0.750 0.350 0.953
Ni 0.250 0.650 0.047
Ni 0.750 0.150 0.453
Ni 0.250 0.850 0.547
I 0.750 0.247 0.604
I 0.250 0.753 0.396
I 0.750 0.253 0.104
I 0.250 0.747 0.896
I 0.750 0.004 0.318
I 0.250 0.996 0.682
I 0.750 0.496 0.818
I 0.250 0.504 0.182
I 0.522 0.375 0.381
I 0.022 0.625 0.619
I 0.478 0.625 0.619
I 0.978 0.375 0.381
I 0.478 0.875 0.119
I 0.978 0.125 0.881
I 0.522 0.125 0.881
I 0.022 0.875 0.119
I 0.500 0.000 0.500
I 0.000 0.000 0.500
I 0.500 0.500 0.000
I 0.000 0.500 0.000